Entry 1:
BiRhBr2 | meta-GGA SCAN | single point on PBEsol structure

Output
ΔE_f (raw)   528 meV per atom
Calculated total energy   -1.370 Ha/atom
M_tot   0.05 μB per atom

Cell lengths 4.9305, 4.9305, 4.9305 Å; angles 60.00, 60.00, 60.00 degrees
With the nearest neighbours (Å) after each atom.
Fractional coordinates of all 4 atoms:
Bi 0.0000 0.0000 0.0000  8 Br 3.02
Rh 0.5000 0.5000 0.5000  8 Br 3.02
Br 0.2500 0.2500 0.2500  4 Rh 3.02, 4 Bi 3.02
Br 0.7500 0.7500 0.7500  4 Rh 3.02, 4 Bi 3.02

Entry 2:
BiRuBr3 | meta-GGA SCAN | single point on PBEsol structure

Output
ΔE_f (raw)   235 meV per atom
Calculated total energy   -1.254 Ha/atom
M_tot   0.14 μB per atom

Cell lengths 4.9443, 4.9443, 4.9443 Å; angles 90.00, 90.00, 90.00 degrees
With the nearest neighbours (Å) after each atom.
Fractional coordinates of all 5 atoms:
Bi 0.0000 0.0000 0.0000  12 Br 3.50
Ru 0.5000 0.5000 0.5000  6 Br 2.47
Br 0.0000 0.5000 0.5000  2 Ru 2.47
Br 0.5000 0.0000 0.5000  2 Ru 2.47
Br 0.5000 0.5000 0.0000  2 Ru 2.47

Entry 3:
BiSBr3 | meta-GGA SCAN | single point on PBEsol structure

Output
ΔE_f (raw)   377 meV per atom
Calculated total energy   -1.064 Ha/atom
M_tot   0.00 μB per atom

Cell lengths 5.0821, 5.0821, 5.0821 Å; angles 90.00, 90.00, 90.00 degrees
With the nearest neighbours (Å) after each atom.
Fractional coordinates of all 5 atoms:
Bi 0.0000 0.0000 0.0000  12 Br 3.59
S 0.5000 0.5000 0.5000  6 Br 2.54
Br 0.0000 0.5000 0.5000  2 S 2.54
Br 0.5000 0.0000 0.5000  2 S 2.54
Br 0.5000 0.5000 0.0000  2 S 2.54

Entry 4:
BiSbTe2Br | meta-GGA SCAN | single point on PBEsol structure

Output
ΔE_f (raw)   717 meV per atom
Calculated total energy   -1.516 Ha/atom
M_tot   0.00 μB per atom

Cell lengths 5.7483, 5.7483, 5.9364 Å; angles 90.00, 90.00, 90.00 degrees
With the nearest neighbours (Å) after each atom.
Fractional coordinates of all 5 atoms:
Bi 0.0000 0.0000 0.0000  4 Te 2.87, 2 Sb 2.97
Sb 0.0000 0.0000 0.5000  2 Bi 2.97
Te 0.0000 0.5000 0.0000  2 Bi 2.87
Te 0.5000 0.0000 0.0000  2 Bi 2.87
Br 0.5000 0.5000 0.5000  4 Sb 4.06, 8 Te 4.13

Entry 5:
ScBiBr2 | meta-GGA SCAN | single point on PBEsol structure

Output
ΔE_f (raw)   -764 meV per atom
Calculated total energy   -1.238 Ha/atom
M_tot   0.00 μB per atom

Cell lengths 6.9465, 6.9465, 6.9465 Å; angles 100.75, 100.75, 128.82 degrees
With the nearest neighbours (Å) after each atom.
Fractional coordinates of all 8 atoms:
Sc 0.0000 0.0000 0.0000  4 Br 2.64
Sc 0.7500 0.2500 0.5000  4 Br 2.64
Bi 0.2500 0.7500 0.5000  2 Sc 3.00
Bi 0.5000 0.5000 0.0000  2 Sc 3.00
Br 0.0143 0.6250 0.8893  2 Sc 2.64
Br 0.3750 0.2643 0.3893  2 Sc 2.64
Br 0.7357 0.1250 0.1107  2 Sc 2.64
Br 0.8750 0.9857 0.6107  2 Sc 2.64

Entry 6:
Bi3Se4Br | meta-GGA SCAN | single point on PBEsol structure

Output
ΔE_f (raw)   -372 meV per atom
Calculated total energy   -1.555 Ha/atom
M_tot   0.00 μB per atom

Cell lengths 10.4106, 10.4106, 11.9506 Å; angles 114.66, 114.66, 22.47 degrees
With the nearest neighbours (Å) after each atom.
Fractional coordinates of all 16 atoms:
Bi 0.0894 0.0894 0.4656  3 Se 2.75-2.78
Bi 0.1480 0.1480 0.9106  3 Se 2.73-2.82
Bi 0.3240 0.3240 0.7581  5 Se 2.79-3.11
Bi 0.6760 0.6760 0.2419  5 Se 2.79-3.11
Bi 0.8520 0.8520 0.0894  3 Se 2.73-2.82
Bi 0.9106 0.9106 0.5344  3 Se 2.75-2.78
Se 0.0750 0.0750 0.2261  3 Bi 2.75-2.84
Se 0.2553 0.2553 0.1452  1 Bi 2.73
Se 0.3085 0.3085 0.4761  2 Bi 2.78
Se 0.4182 0.4182 0.0089  3 Bi 2.79-2.82
Se 0.5818 0.5818 0.9911  3 Bi 2.79-2.82
Se 0.6915 0.6915 0.5239  2 Bi 2.78
Se 0.7447 0.7447 0.8548  1 Bi 2.73
Se 0.9250 0.9250 0.7739  3 Bi 2.75-2.84
Br 0.4560 0.4560 0.3347  6 Bi 3.22-3.54, 1 Br 3.58
Br 0.5440 0.5440 0.6653  6 Bi 3.22-3.54, 1 Br 3.58

Entry 7:
TcBiSe2Br | meta-GGA SCAN | single point on PBEsol structure

Output
ΔE_f (raw)   874 meV per atom
Calculated total energy   -1.241 Ha/atom
M_tot   1.02 μB per atom

Cell lengths 5.4788, 5.4788, 5.3961 Å; angles 90.00, 90.00, 90.00 degrees
With the nearest neighbours (Å) after each atom.
Fractional coordinates of all 5 atoms:
Tc 0.0000 0.0000 0.0000  8 Se 3.84, 4 Br 3.87
Bi 0.5000 0.5000 0.5000  2 Br 2.70, 4 Se 2.74
Se 0.0000 0.5000 0.5000  2 Bi 2.74
Se 0.5000 0.0000 0.5000  2 Bi 2.74
Br 0.5000 0.5000 0.0000  2 Bi 2.70

Entry 8:
TcBiSeBr2 | meta-GGA SCAN | single point on PBEsol structure

Output
ΔE_f (raw)   894 meV per atom
Calculated total energy   -1.236 Ha/atom
M_tot   0.36 μB per atom

Cell lengths 5.3860, 5.3860, 4.6422 Å; angles 90.00, 90.00, 90.00 degrees
With the nearest neighbours (Å) after each atom.
Fractional coordinates of all 5 atoms:
Tc 0.0000 0.0000 0.0000  2 Se 2.32
Bi 0.5000 0.5000 0.0000  8 Br 3.56, 4 Tc 3.81
Se 0.0000 0.0000 0.5000  2 Tc 2.32
Br 0.0000 0.5000 0.5000  2 Se 2.69
Br 0.5000 0.0000 0.5000  2 Se 2.69

Entry 9:
SiBi2Br | meta-GGA SCAN | single point on PBEsol structure

Output
ΔE_f (raw)   248 meV per atom
Calculated total energy   -1.706 Ha/atom
M_tot   0.00 μB per atom

Cell lengths 6.7472, 6.7472, 6.7472 Å; angles 102.35, 102.35, 124.90 degrees
With the nearest neighbours (Å) after each atom.
Fractional coordinates of all 8 atoms:
Si 0.0000 0.0000 0.0000  4 Bi 2.81, 2 Br 3.12
Si 0.7500 0.2500 0.5000  4 Bi 2.81, 2 Br 3.12
Bi 0.0725 0.6250 0.9475  2 Si 2.81
Bi 0.3750 0.3225 0.4475  2 Si 2.81
Bi 0.6775 0.1250 0.0525  2 Si 2.81
Bi 0.8750 0.9275 0.5525  2 Si 2.81
Br 0.2500 0.7500 0.5000  2 Si 3.12, 4 Bi 3.41
Br 0.5000 0.5000 0.0000  2 Si 3.12, 4 Bi 3.41

Entry 10:
Zr2SnBiBr | meta-GGA SCAN | single point on PBEsol structure

Output
ΔE_f (raw)   554 meV per atom
Calculated total energy   -1.415 Ha/atom
M_tot   0.00 μB per atom

Cell lengths 4.9713, 4.9713, 5.4914 Å; angles 90.00, 90.00, 90.00 degrees
With the nearest neighbours (Å) after each atom.
Fractional coordinates of all 5 atoms:
Zr 0.0000 0.5000 0.0000  2 Br 2.49
Zr 0.5000 0.0000 0.0000  2 Br 2.49
Sn 0.0000 0.0000 0.5000  2 Br 2.75
Bi 0.5000 0.5000 0.5000  4 Sn 3.52, 8 Zr 3.70
Br 0.0000 0.0000 0.0000  4 Zr 2.49, 2 Sn 2.75

Entry 11:
SrBiBr2 | meta-GGA SCAN | single point on PBEsol structure

Output
ΔE_f (raw)   -951 meV per atom
Calculated total energy   -1.319 Ha/atom
M_tot   0.00 μB per atom

Cell lengths 6.9985, 6.9985, 6.9985 Å; angles 105.30, 105.30, 118.18 degrees
With the nearest neighbours (Å) after each atom.
Fractional coordinates of all 8 atoms:
Sr 0.0000 0.0000 0.0000  4 Br 3.05
Sr 0.7500 0.2500 0.5000  4 Br 3.05
Bi 0.2500 0.7500 0.5000  4 Br 3.22, 2 Sr 3.60
Bi 0.5000 0.5000 0.0000  4 Br 3.22, 2 Sr 3.60
Br 0.1109 0.6250 0.9859  2 Sr 3.05, 2 Bi 3.22
Br 0.3750 0.3609 0.4859  2 Sr 3.05, 2 Bi 3.22
Br 0.6391 0.1250 0.0141  2 Sr 3.05, 2 Bi 3.22
Br 0.8750 0.8891 0.5141  2 Sr 3.05, 2 Bi 3.22